Record 1
! Y3Er3Tm5 PBE relaxed; values from VASP
! DFT total energy	-46.3	eV/cell
! energy relative to the elements	0.834	eV per atom
&SYSTEM
  ibrav = 0, nat = 11, ntyp = 3
/
ATOMIC_SPECIES
Y 88.91 Y.upf
Er 167.26 Er.upf
Tm 168.93 Tm.upf
CELL_PARAMETERS angstrom
-3.040 3.905 -2.286
-4.831 1.040 8.201
7.881 5.195 -1.606
ATOMIC_POSITIONS angstrom
Y 0.738 6.569 3.740
Y 0.526 3.301 -1.560
Y -2.774 2.223 0.987
Er 1.661 3.396 3.592
Er -2.200 0.474 3.734
Er 3.588 2.365 -0.731
Tm 2.124 5.763 0.520
Tm -2.113 4.378 3.789
Tm -0.373 4.296 1.336
Tm 3.399 5.195 -2.145
Tm -4.535 2.602 3.976

Record 2
! Y3ErTm8 PBE relaxed; values from VASP
! DFT total energy	-50.7	eV/cell
! energy relative to the elements	0.755	eV per atom
&SYSTEM
  ibrav = 0, nat = 12, ntyp = 3
/
ATOMIC_SPECIES
Y 88.91 Y.upf
Er 167.26 Er.upf
Tm 168.93 Tm.upf
CELL_PARAMETERS angstrom
6.629 0.000 -3.750
-2.121 6.280 -3.750
0.839 1.169 9.217
ATOMIC_POSITIONS angstrom
Y 0.486 5.295 0.859
Y 2.254 3.140 -3.750
Y 4.861 2.155 0.859
Er 0.000 0.000 0.000
Tm 5.221 2.631 -2.393
Tm 1.888 2.631 -0.508
Tm 1.192 1.661 5.996
Tm 4.525 1.661 4.111
Tm 0.821 5.788 -2.393
Tm 4.155 5.788 -4.279
Tm 3.459 4.819 2.225
Tm 0.126 4.819 4.111

Record 3
! Y3Er8Tm PBE relaxed; values from VASP
! DFT total energy	-51.4	eV/cell
! energy relative to the elements	0.751	eV per atom
&SYSTEM
  ibrav = 0, nat = 12, ntyp = 3
/
ATOMIC_SPECIES
Y 88.91 Y.upf
Er 167.26 Er.upf
Tm 168.93 Tm.upf
CELL_PARAMETERS angstrom
6.647 0.000 -3.760
-2.127 6.297 -3.760
0.844 1.175 9.246
ATOMIC_POSITIONS angstrom
Y 0.488 5.311 0.863
Y 2.260 3.149 -3.760
Y 4.875 2.162 0.863
Er 5.238 2.635 -2.400
Er 1.892 2.635 -0.506
Er 1.196 1.666 6.019
Er 4.543 1.666 4.126
Er 0.821 5.806 -2.400
Er 4.167 5.806 -4.293
Er 3.472 4.837 2.233
Er 0.125 4.837 4.126
Tm 0.000 0.000 0.000

Record 4
! Y11Er9Tm4 PBE relaxed; values from VASP
! DFT total energy	-128.9	eV/cell
! energy relative to the elements	0.049	eV per atom
&SYSTEM
  ibrav = 0, nat = 24, ntyp = 3
/
ATOMIC_SPECIES
Y 88.91 Y.upf
Er 167.26 Er.upf
Tm 168.93 Tm.upf
CELL_PARAMETERS angstrom
-1.099 -3.100 -1.575
11.756 -7.197 5.964
-12.118 -0.211 8.871
ATOMIC_POSITIONS angstrom
Y -4.597 -4.473 12.014
Y 4.235 -2.935 2.822
Y 4.037 -7.000 10.962
Y -4.398 -0.408 3.873
Y 2.975 -4.628 7.034
Y -3.336 -2.781 7.802
Y 7.947 -6.083 6.428
Y -8.309 -1.326 8.407
Y 0.000 0.000 0.000
Y -0.256 -5.236 10.485
Y -0.106 -2.172 4.350
Er 4.871 -6.127 4.440
Er -6.332 -4.381 8.821
Er -6.258 -2.870 5.795
Er 4.797 -7.638 7.466
Er -2.584 -7.396 12.141
Er 1.123 -3.112 1.120
Er 0.865 -8.405 11.721
Er -2.325 -2.103 1.540
Er -0.730 -5.254 6.630
Tm -3.201 -5.696 9.225
Tm 1.741 -4.812 4.036
Tm 1.629 -7.109 8.637
Tm -3.089 -3.399 4.624

Record 5
! Y9Er2Tm PBE relaxed; values from VASP
! DFT total energy	-71.5	eV/cell
! energy relative to the elements	0.027	eV per atom
&SYSTEM
  ibrav = 0, nat = 12, ntyp = 3
/
ATOMIC_SPECIES
Y 88.91 Y.upf
Er 167.26 Er.upf
Tm 168.93 Tm.upf
CELL_PARAMETERS angstrom
-4.373 0.320 2.458
-1.993 -3.418 -3.101
4.423 -11.020 9.304
ATOMIC_POSITIONS angstrom
Y -3.183 -1.549 -0.322
Y -1.709 -5.221 2.778
Y -0.234 -8.897 5.882
Y -1.451 -1.674 2.777
Y 0.025 -5.350 5.881
Y 1.500 -9.026 8.984
Y -0.260 -3.543 -0.002
Y 1.215 -7.219 3.101
Y 2.691 -10.895 6.205
Er 1.474 -3.672 3.100
Er 2.949 -7.348 6.204
Tm 0.000 0.000 0.000

Record 6
! YErTm2 PBE relaxed; values from VASP
! DFT total energy	-19.4	eV/cell
! energy relative to the elements	0.138	eV per atom
! ΔE to the lowest computed polymorph	0.1352	eV/atom
&SYSTEM
  ibrav = 0, nat = 4, ntyp = 3
/
ATOMIC_SPECIES
Y 88.91 Y.upf
Tm 168.93 Tm.upf
Er 167.26 Er.upf
CELL_PARAMETERS angstrom
5.616 0.000 0.000
2.808 4.864 0.000
2.808 1.621 4.585
ATOMIC_POSITIONS angstrom
Y 0.000 0.000 0.000
Tm 2.808 1.621 1.146
Tm 8.424 4.864 3.439
Er 5.616 3.242 2.293

Record 7
! YErTm6 PBE relaxed; values from VASP
! DFT total energy	-36.1	eV/cell
! energy relative to the elements	0.214	eV per atom
! ΔE to the lowest computed polymorph	0.0000	eV/atom
&SYSTEM
  ibrav = 0, nat = 8, ntyp = 3
/
ATOMIC_SPECIES
Y 88.91 Y.upf
Er 167.26 Er.upf
Tm 168.93 Tm.upf
CELL_PARAMETERS angstrom
6.236 -0.224 2.368
0.432 6.441 -0.688
1.043 -0.961 6.702
ATOMIC_POSITIONS angstrom
Y 0.216 3.220 -0.344
Er 0.000 0.000 0.000
Tm 1.395 4.233 2.941
Tm 4.435 4.338 4.329
Tm 3.275 0.918 4.054
Tm 6.316 1.023 5.441
Tm 3.760 4.712 0.790
Tm 3.951 0.544 7.592

Record 8
! Y3ErTm5 PBE relaxed; values from VASP
! DFT total energy	-82.7	eV/cell
! energy relative to the elements	0.553	eV per atom
! ΔE to the lowest computed polymorph	0.2436	eV/atom
&SYSTEM
  ibrav = 0, nat = 18, ntyp = 3
/
ATOMIC_SPECIES
Y 88.91 Y.upf
Er 167.26 Er.upf
Tm 168.93 Tm.upf
CELL_PARAMETERS angstrom
-0.820 4.245 8.350
0.507 -6.718 6.559
7.332 -0.548 8.790
ATOMIC_POSITIONS angstrom
Y 5.736 -2.175 17.569
Y 2.489 -1.825 13.019
Y 0.000 0.000 0.000
Y 3.666 -0.274 4.395
Y 1.282 -0.846 6.130
Y 4.530 -1.196 10.680
Er 4.393 -0.687 7.463
Er 2.625 -2.334 16.236
Tm 1.271 1.140 11.503
Tm 0.161 -3.858 7.027
Tm 6.847 -2.538 20.614
Tm 1.531 -1.333 9.298
Tm 5.488 -1.688 14.401
Tm 0.172 -0.483 3.085
Tm 1.938 -4.362 10.604
Tm -0.474 1.385 7.883
Tm 5.747 -4.161 12.197
Tm 5.081 1.341 13.095

Record 9
! Y2Er15Tm2 PBE relaxed; values from VASP
! DFT total energy	-85.0	eV/cell
! energy relative to the elements	0.279	eV per atom
&SYSTEM
  ibrav = 0, nat = 19, ntyp = 3
/
ATOMIC_SPECIES
Y 88.91 Y.upf
Er 167.26 Er.upf
Tm 168.93 Tm.upf
CELL_PARAMETERS angstrom
-6.893 3.851 3.499
-4.005 2.785 -7.127
-5.915 -6.215 -0.984
ATOMIC_POSITIONS angstrom
Y -5.424 0.136 -1.488
Y -11.388 0.285 -3.124
Er -2.957 -3.108 -0.492
Er -3.447 1.925 1.749
Er -2.002 1.392 -3.563
Er -4.869 3.104 -3.947
Er -5.343 -3.522 -2.822
Er -6.600 0.838 2.157
Er -4.576 0.091 -5.289
Er -6.208 -3.203 0.357
Er -6.029 3.532 0.319
Er -7.757 3.278 -2.437
Er -7.283 -1.601 -4.610
Er -8.683 -1.084 0.540
Er -9.055 -2.858 -2.175
Er -9.529 2.021 -0.002
Er -8.130 1.504 -5.152
Tm -1.631 0.041 -0.447
Tm -15.182 0.380 -4.165

Record 10
! Y2Er12Tm PBE relaxed; values from VASP
! DFT total energy	-141.4	eV/cell
! energy relative to the elements	0.096	eV per atom
&SYSTEM
  ibrav = 0, nat = 30, ntyp = 3
/
ATOMIC_SPECIES
Y 88.91 Y.upf
Er 167.26 Er.upf
Tm 168.93 Tm.upf
CELL_PARAMETERS angstrom
-6.341 -1.919 -0.366
3.124 -1.506 5.657
-11.264 15.758 16.620
ATOMIC_POSITIONS angstrom
Y -6.926 2.939 5.452
Y -2.240 3.159 8.536
Y -12.288 9.188 13.448
Y -7.509 9.382 16.387
Er -10.422 11.062 15.736
Er -12.136 9.345 18.314
Er -12.504 12.367 19.411
Er -9.210 11.235 18.934
Er -4.002 4.705 6.057
Er -0.539 1.306 5.989
Er -10.496 7.136 10.773
Er -5.693 2.989 8.650
Er -11.447 14.055 16.414
Er -3.587 -1.746 5.146
Er -7.211 7.759 10.817
Er -8.718 4.991 8.127
Er -10.398 7.632 15.907
Er -5.661 6.287 8.449
Er -1.426 -0.010 2.852
Er -7.255 4.576 11.105
Er -8.835 6.046 13.453
Er -2.451 2.984 3.530
Er -5.760 7.325 13.780
Er -8.871 9.341 13.209
Er -14.040 11.433 16.047
Er -3.954 1.276 6.243
Er -3.989 5.216 11.143
Er -5.175 0.694 2.853
Tm -0.197 -2.068 5.683
Tm -9.552 14.609 19.240

Record 11
! Y4ErTm10 PBE relaxed; values from VASP
! DFT total energy	-63.8	eV/cell
! energy relative to the elements	0.757	eV per atom
&SYSTEM
  ibrav = 0, nat = 15, ntyp = 3
/
ATOMIC_SPECIES
Y 88.91 Y.upf
Er 167.26 Er.upf
Tm 168.93 Tm.upf
CELL_PARAMETERS angstrom
6.939 0.000 3.133
3.469 8.523 1.567
-0.038 0.000 9.334
ATOMIC_POSITIONS angstrom
Y 5.535 6.830 6.240
Y 7.597 5.113 10.924
Y 2.773 3.409 3.109
Y 4.834 1.693 7.793
Er 0.000 0.000 0.000
Tm 3.450 4.261 6.233
Tm 5.528 2.537 10.911
Tm 0.680 0.854 3.091
Tm 6.199 7.669 9.366
Tm 8.333 5.985 4.699
Tm 4.842 5.985 3.123
Tm 6.920 4.261 7.800
Tm 2.037 2.537 9.334
Tm 4.170 0.854 4.667
Tm 9.690 7.669 10.942

Record 12
! YEr4Tm15 PBE relaxed; values from VASP
! DFT total energy	-91.2	eV/cell
! energy relative to the elements	0.027	eV per atom
&SYSTEM
  ibrav = 0, nat = 20, ntyp = 3
/
ATOMIC_SPECIES
Y 88.91 Y.upf
Er 167.26 Er.upf
Tm 168.93 Tm.upf
CELL_PARAMETERS angstrom
4.941 0.000 0.000
0.000 4.941 0.000
0.000 0.000 24.715
ATOMIC_POSITIONS angstrom
Y 0.000 0.000 0.000
Er 0.000 0.000 4.952
Er 0.000 0.000 9.889
Er 0.000 0.000 14.826
Er 0.000 0.000 19.763
Tm 2.470 2.470 0.000
Tm 2.470 2.470 4.955
Tm 2.470 2.470 9.888
Tm 2.470 2.470 14.827
Tm 2.470 2.470 19.760
Tm 2.470 0.000 2.491
Tm 2.470 0.000 7.420
Tm 2.470 0.000 12.357
Tm 2.470 0.000 17.294
Tm 2.470 0.000 22.224
Tm 0.000 2.470 2.491
Tm 0.000 2.470 7.420
Tm 0.000 2.470 12.357
Tm 0.000 2.470 17.294
Tm 0.000 2.470 22.224

Record 13
! Y6Er12Tm PBE relaxed; values from VASP
! DFT total energy	-94.5	eV/cell
! energy relative to the elements	0.183	eV per atom
! ΔE to the lowest computed polymorph	0.0000	eV/atom
&SYSTEM
  ibrav = 0, nat = 19, ntyp = 3
/
ATOMIC_SPECIES
Y 88.91 Y.upf
Er 167.26 Er.upf
Tm 168.93 Tm.upf
CELL_PARAMETERS angstrom
8.460 0.447 0.535
-0.841 8.430 0.535
-0.841 -0.980 8.390
ATOMIC_POSITIONS angstrom
Y 5.175 7.450 3.037
Y 5.925 2.531 1.587
Y 0.198 6.025 2.774
Y 1.603 0.447 6.423
Y 0.853 5.366 7.873
Y 6.580 1.872 6.687
Er 5.841 4.341 4.633
Er 2.854 6.347 5.099
Er 3.405 3.409 7.156
Er 0.937 3.556 4.827
Er 3.924 1.550 4.362
Er 3.373 4.487 2.304
Er 0.098 0.860 3.261
Er 5.943 4.729 8.654
Er 3.774 7.336 8.031
Er 6.680 7.037 6.199
Er 0.835 3.168 0.807
Er 3.004 0.560 1.429
Tm 0.000 0.000 0.000

Record 14
! Y6Er2Tm5 PBE relaxed; values from VASP
! DFT total energy	-137.8	eV/cell
! energy relative to the elements	0.106	eV per atom
&SYSTEM
  ibrav = 0, nat = 26, ntyp = 3
/
ATOMIC_SPECIES
Y 88.91 Y.upf
Er 167.26 Er.upf
Tm 168.93 Tm.upf
CELL_PARAMETERS angstrom
3.556 0.000 0.000
0.000 11.588 0.000
0.000 0.000 20.052
ATOMIC_POSITIONS angstrom
Y 0.000 1.005 7.402
Y 0.000 10.583 12.650
Y 0.000 6.799 2.624
Y 0.000 4.789 17.427
Y 1.778 3.807 2.704
Y 1.778 7.781 17.348
Y 1.778 9.601 7.322
Y 1.778 1.987 12.730
Y 0.000 6.458 8.392
Y 0.000 5.130 11.659
Y 0.000 0.664 1.633
Y 0.000 10.924 18.418
Er 0.000 3.897 5.826
Er 0.000 7.691 14.225
Er 0.000 9.691 4.199
Er 0.000 1.897 15.852
Tm 1.778 3.496 9.030
Tm 1.778 8.092 11.021
Tm 1.778 9.290 0.996
Tm 1.778 2.298 19.056
Tm 1.778 6.864 5.464
Tm 1.778 4.724 14.587
Tm 1.778 1.070 4.562
Tm 1.778 10.518 15.490
Tm 1.778 5.794 0.000
Tm 1.778 0.000 10.026

Record 15
! Y10ErTm4 PBE relaxed; values from VASP
! DFT total energy	-76.2	eV/cell
! energy relative to the elements	0.725	eV per atom
&SYSTEM
  ibrav = 0, nat = 15, ntyp = 3
/
ATOMIC_SPECIES
Y 88.91 Y.upf
Er 167.26 Er.upf
Tm 168.93 Tm.upf
CELL_PARAMETERS angstrom
-6.646 -3.713 -0.772
0.906 -8.984 -2.517
-3.008 -4.134 7.857
ATOMIC_POSITIONS angstrom
Y -2.712 -7.487 2.477
Y -6.753 -8.828 5.808
Y -1.142 -2.330 2.067
Y -4.285 -12.645 2.887
Y -5.315 -9.857 -1.626
Y -1.995 -8.002 -1.240
Y -6.036 -9.344 2.091
Y -3.433 -6.974 6.194
Y -4.463 -4.185 1.681
Y -7.606 -14.500 2.501
Er 0.000 0.000 0.000
Tm -3.135 -10.329 0.820
Tm -7.180 -11.668 4.161
Tm -1.568 -5.163 0.407
Tm -5.613 -6.502 3.748

Record 16
! Y5Er4Tm3 PBE relaxed; values from VASP
! DFT total energy	-63.7	eV/cell
! energy relative to the elements	0.028	eV per atom
! ΔE to the lowest computed polymorph	0.0000	eV/atom
&SYSTEM
  ibrav = 0, nat = 12, ntyp = 3
/
ATOMIC_SPECIES
Y 88.91 Y.upf
Er 167.26 Er.upf
Tm 168.93 Tm.upf
CELL_PARAMETERS angstrom
-2.662 -0.157 6.545
0.052 -7.982 -7.793
5.301 5.945 9.917
ATOMIC_POSITIONS angstrom
Y 3.548 -0.425 5.245
Y 1.320 2.894 8.231
Y 3.329 1.837 10.928
Y -0.638 -4.031 -2.260
Y -0.857 -1.769 3.423
Er 1.133 -2.830 6.118
Er 2.231 -0.518 8.524
Er 0.460 -1.675 0.145
Er 1.558 0.637 2.550
Tm 0.221 0.558 5.832
Tm 2.651 2.973 4.958
Tm 2.469 -2.752 2.836

Record 17
! Y6ErTm PBE relaxed; values from VASP
! DFT total energy	-46.1	eV/cell
! energy relative to the elements	0.212	eV per atom
! ΔE to the lowest computed polymorph	0.1858	eV/atom
&SYSTEM
  ibrav = 0, nat = 8, ntyp = 3
/
ATOMIC_SPECIES
Y 88.91 Y.upf
Er 167.26 Er.upf
Tm 168.93 Tm.upf
CELL_PARAMETERS angstrom
-5.163 0.240 4.395
-1.080 -6.404 -0.897
0.837 -2.529 6.371
ATOMIC_POSITIONS angstrom
Y -0.903 -6.103 2.777
Y -3.304 -5.871 5.174
Y -2.101 -2.822 4.695
Y -4.502 -2.591 7.092
Y -3.669 -4.669 1.763
Y -1.736 -4.024 8.106
Er 0.000 0.000 0.000
Tm -0.540 -3.202 -0.448

Record 18
! Y7ErTm2 PBE relaxed; values from VASP
! DFT total energy	-51.8	eV/cell
! energy relative to the elements	0.700	eV per atom
! ΔE to the lowest computed polymorph	0.4837	eV/atom
&SYSTEM
  ibrav = 0, nat = 10, ntyp = 3
/
ATOMIC_SPECIES
Y 88.91 Y.upf
Er 167.26 Er.upf
Tm 168.93 Tm.upf
CELL_PARAMETERS angstrom
5.603 0.000 0.000
0.000 9.082 -0.423
0.000 -4.475 7.914
ATOMIC_POSITIONS angstrom
Y 0.000 6.106 1.407
Y 0.000 -1.499 6.084
Y 2.802 -0.738 2.286
Y 2.802 5.345 5.205
Y 2.802 2.374 0.373
Y 2.802 2.233 7.118
Y 2.802 2.303 3.746
Er 0.000 0.000 0.000
Tm 2.802 5.072 2.043
Tm 2.802 -0.465 5.448